Material: PmAlGeI
Method: DFT, PBE-GGA
State: relaxed Values from VASP.

Values from the calculation:
Total magnetization   0.00 μB per cell
Energy relative to the elements, uncorrected   -0.79 eV per atom

Structure (Quantum ESPRESSO input):
```
&SYSTEM
  ibrav = 0, nat = 8, ntyp = 4
/
ATOMIC_SPECIES
Pm 145.00 Pm.upf
Al 26.98 Al.upf
Ge 72.64 Ge.upf
I 126.90 I.upf
ATOMIC_POSITIONS angstrom
Pm 0.0000 0.0000 3.3082
Pm 0.0000 0.0000 40.8032
Al 0.0000 0.0000 13.7211
Al 0.0000 0.0000 30.3903
Ge 0.0000 0.0000 16.2804
Ge 0.0000 0.0000 27.8310
I 0.0000 0.0000 9.3672
I 0.0000 0.0000 34.7442
CELL_PARAMETERS angstrom
2.1621 1.2483 14.7038
-2.1621 1.2483 14.7038
0.0000 -2.4966 14.7038
```

Material: Pr2MgPd5
Method: DFT, PBE-GGA
State: relaxed Values from VASP.

Values from the calculation:
E   -42.58 eV/cell
Total magnetization   0.00 μB per cell

Structure (Quantum ESPRESSO input):
```
&SYSTEM
  ibrav = 0, nat = 8, ntyp = 3
/
ATOMIC_SPECIES
Pr 140.91 Pr.upf
Mg 24.30 Mg.upf
Pd 106.42 Pd.upf
ATOMIC_POSITIONS angstrom
Pr 3.1996 0.0000 0.0000
Pr 0.0000 3.1996 0.0000
Mg 0.0000 0.0000 2.7562
Pd 0.0000 0.0000 0.0445
Pd 1.7898 1.7898 1.8997
Pd 1.4097 -1.4097 5.8409
Pd -1.4097 1.4097 5.8409
Pd 1.4097 1.4097 5.8409
CELL_PARAMETERS angstrom
-3.1996 3.1996 3.9412
3.1996 -3.1996 3.9412
3.1996 3.1996 -3.9412
```

Material: Y2Si4Rh5
Method: DFT, PBE-GGA
State: relaxed Values from VASP.

Values from the calculation:
Total magnetization   0.00 μB per cell
Energy relative to the elements, uncorrected   -0.98 eV per atom

Structure (Quantum ESPRESSO input):
```
&SYSTEM
  ibrav = 0, nat = 11, ntyp = 3
/
ATOMIC_SPECIES
Y 88.91 Y.upf
Si 28.09 Si.upf
Rh 102.91 Rh.upf
ATOMIC_POSITIONS angstrom
Y 2.8072 4.7840 1.7980
Y 2.8072 4.7840 12.0737
Si 2.8072 3.3348 5.0958
Si 2.8072 3.3348 8.7759
Si 2.8072 6.2332 5.0958
Si 2.8072 6.2332 8.7759
Rh 1.4036 2.3920 0.0000
Rh 1.4036 2.3920 3.4679
Rh 1.4036 2.3920 6.9359
Rh 2.8072 4.7840 6.9359
Rh 4.2108 7.1760 10.4038
CELL_PARAMETERS angstrom
0.0000 4.7840 6.9359
2.8072 0.0000 6.9359
2.8072 4.7840 0.0000
```

Material: Hg4AsBr3
Method: DFT, PBE-GGA
State: relaxed Values from VASP.

Values from the calculation:
Total magnetization   0.00 μB per cell
Energy relative to the elements, uncorrected   -0.27 eV per atom

Structure (Quantum ESPRESSO input):
```
&SYSTEM
  ibrav = 0, nat = 16, ntyp = 3
/
ATOMIC_SPECIES
Hg 200.59 Hg.upf
As 74.92 As.upf
Br 79.90 Br.upf
ATOMIC_POSITIONS angstrom
Hg 0.0000 0.8790 0.0000
Hg 0.0000 6.6141 4.5207
Hg 1.8108 5.3223 7.3846
Hg 3.9350 2.2118 3.5000
Hg 5.7458 0.9200 0.6362
Hg 5.7458 6.6550 3.8845
Hg 7.5566 2.2118 3.5000
Hg 9.6808 5.3223 7.3846
As 0.0000 6.1744 1.1897
As 5.7458 1.3597 5.0742
Br 0.0000 2.8021 6.0970
Br 1.9991 2.7349 1.9478
Br 3.7467 4.7991 5.8323
Br 5.7458 4.7320 2.2125
Br 7.7449 4.7991 5.8323
Br 9.4925 2.7349 1.9478
CELL_PARAMETERS angstrom
11.4916 0.0000 0.0000
0.0000 7.5341 0.0000
0.0000 0.0000 7.7691
```

Material: La6NdDy5
Method: DFT, PBE-GGA
State: relaxed Values from VASP.

Values from the calculation:
E   -57.09 eV/cell
Total magnetization   0.00 μB per cell

Structure (Quantum ESPRESSO input):
```
&SYSTEM
  ibrav = 0, nat = 12, ntyp = 3
/
ATOMIC_SPECIES
La 138.91 La.upf
Nd 144.24 Nd.upf
Dy 162.50 Dy.upf
ATOMIC_POSITIONS angstrom
La 2.6173 2.5082 -2.6261
La 0.0000 2.4960 0.0000
La 2.6173 2.5082 2.6261
La 0.0000 2.5274 5.2355
La 0.0000 7.5752 0.0000
La 0.0000 2.5274 10.4877
Nd 0.0000 0.0000 7.8616
Dy 2.6173 0.0000 0.0000
Dy 0.0000 0.0000 2.6239
Dy 2.6173 0.0000 5.2301
Dy 0.0000 5.0356 2.6315
Dy 0.0000 0.0000 13.0994
CELL_PARAMETERS angstrom
-2.6173 5.0356 7.8616
2.6173 -5.0356 7.8616
2.6173 5.0356 -7.8616
```

Material: PrDy4S7
Method: DFT, PBE-GGA
State: relaxed Values from VASP.

Values from the calculation:
Total magnetization   0.00 μB per cell
Energy relative to the elements, uncorrected   -2.05 eV per atom

Structure (Quantum ESPRESSO input):
```
&SYSTEM
  ibrav = 0, nat = 12, ntyp = 3
/
ATOMIC_SPECIES
Pr 140.91 Pr.upf
Dy 162.50 Dy.upf
S 32.06 S.upf
ATOMIC_POSITIONS angstrom
Pr 0.0000 0.0000 0.0000
Dy 0.2325 0.0000 4.7898
Dy 0.4663 0.0000 9.4885
Dy 3.5969 0.0000 6.8633
Dy 9.9049 0.0000 2.6646
S -0.9725 0.0000 7.1895
S 1.4402 0.0000 2.4006
S 4.5143 0.0000 0.7838
S 4.8465 0.0000 4.1939
S 5.3557 0.0000 10.3532
S 8.6753 0.0000 5.3375
S 8.8332 0.0000 8.6861
CELL_PARAMETERS angstrom
6.5202 -1.9177 0.0000
6.5202 1.9177 0.0000
-2.9228 0.0000 11.3450
```

Material: LiZr2Cl8
Method: DFT, PBE-GGA
State: relaxed Values from VASP.

Values from the calculation:
Relative energy among the computed polymorphs   0 kJ/mol of formula units
Total magnetization   0.00 μB per cell
Energy relative to the elements, uncorrected   -1.71 eV per atom

Structure (Quantum ESPRESSO input):
```
&SYSTEM
  ibrav = 0, nat = 11, ntyp = 3
/
ATOMIC_SPECIES
Li 6.94 Li.upf
Zr 91.22 Zr.upf
Cl 35.45 Cl.upf
ATOMIC_POSITIONS angstrom
Li 0.0000 0.0000 0.0000
Zr 3.2081 0.0000 3.4417
Zr 9.6152 0.0000 3.3361
Cl 4.6299 1.8494 2.3302
Cl 1.8272 0.0000 1.3368
Cl 4.6313 0.0000 5.3450
Cl 8.1933 1.8494 4.4475
Cl 4.6299 -1.8494 2.3302
Cl 8.1919 0.0000 1.4328
Cl 10.9961 0.0000 5.4410
Cl 8.1933 -1.8494 4.4475
CELL_PARAMETERS angstrom
6.5598 -3.6118 0.0000
6.5598 3.6118 0.0000
-0.2964 0.0000 6.7778
```

Material: Zn3PbI
Method: DFT, PBE-GGA
State: relaxed Values from VASP.

Values from the calculation:
Relative energy among the computed polymorphs   0 kJ/mol of formula units
Total magnetization   0.00 μB per cell
Energy relative to the elements, uncorrected   0.24 eV per atom

Structure (Quantum ESPRESSO input):
```
&SYSTEM
  ibrav = 0, nat = 5, ntyp = 3
/
ATOMIC_SPECIES
Zn 65.41 Zn.upf
Pb 207.20 Pb.upf
I 126.90 I.upf
ATOMIC_POSITIONS angstrom
Zn 0.0000 0.0000 2.7084
Zn 0.0000 2.7084 0.0000
Zn 2.7084 0.0000 0.0000
Pb 0.0000 0.0000 0.0000
I 2.7084 2.7084 2.7084
CELL_PARAMETERS angstrom
5.4168 0.0000 0.0000
0.0000 5.4168 0.0000
0.0000 0.0000 5.4168
```

> Number 5 is which compound?

La6NdDy5